Record 1
The following is a PBE calculation of Sc3Tl3GeS8 after structural relaxation, from Alexandria via LeMat-Bulk.

abc: 7.484 7.484 8.730
angles: 115.42 115.42 59.99
Element x y z (fractional)
Sc1 0.000 0.000 0.000
Sc2 0.000 0.500 0.000
Sc3 0.500 0.000 0.000
Tl1 0.000 0.500 0.500
Tl2 0.500 0.000 0.500
Tl3 0.500 0.500 0.500
Ge1 0.500 0.500 0.000
S1 0.229 0.229 0.188
S2 0.243 0.719 0.181
S3 0.281 0.281 0.819
S4 0.281 0.757 0.819
S5 0.719 0.243 0.181
S6 0.719 0.719 0.181
S7 0.757 0.281 0.819
S8 0.771 0.771 0.812

Symmetry: No. 12
Calculated total energy in eV/cell: -80.44
DOS(E_F) in states/eV/f.u.: 1.22
Energy relative to the elements, uncorrected in eV/atom: -1.11

Record 2
The following is a PBE calculation of GeSeS after structural relaxation, from Alexandria via LeMat-Bulk.

abc: 3.559 3.679 6.804
angles: 88.01 74.93 84.61
Element x y z (fractional)
Ge1 0.000 0.000 0.000
Se1 0.117 0.504 0.766
S1 0.393 0.995 0.216

Symmetry: No. 1
Calculated total energy in eV/cell: -12.94
DOS(E_F) in states/eV/f.u.: 0.22
Energy relative to the elements, uncorrected in eV/atom: -0.24

Record 3
The following is a PBE calculation of Ge2SeS2 after structural relaxation, from Alexandria via LeMat-Bulk.

abc: 5.512 5.512 5.512
angles: 123.78 123.78 83.57
Element x y z (fractional)
Ge1 0.250 0.750 0.500
Ge2 0.750 0.250 0.500
Se1 0.000 0.000 0.000
S1 0.309 0.309 0.000
S2 0.691 0.691 0.000

Symmetry: No. 139
Calculated total energy in eV/cell: -20.70
DOS(E_F) in states/eV/f.u.: 0.19
Energy relative to the elements, uncorrected in eV/atom: 0.05

Record 4
The following is a PBE calculation of Ge3Se2S2 after structural relaxation, from Alexandria via LeMat-Bulk.

abc: 7.243 6.519 7.426
angles: 90.00 117.95 90.00
Element x y z (fractional)
Ge1 0.000 0.000 0.000
Ge2 0.000 0.500 0.500
Ge3 0.276 0.034 0.729
Ge4 0.276 0.466 0.229
Ge5 0.724 0.534 0.771
Ge6 0.724 0.966 0.271
Se1 0.125 0.668 0.870
Se2 0.125 0.832 0.370
Se3 0.875 0.168 0.630
Se4 0.875 0.332 0.130
S1 0.363 0.155 0.101
S2 0.363 0.345 0.601
S3 0.637 0.655 0.399
S4 0.637 0.845 0.899

Symmetry: No. 14
Calculated total energy in eV/cell: -60.24
DOS(E_F) in states/eV/f.u.: 2.79
Energy relative to the elements, uncorrected in eV/atom: -0.15

Record 5
The following is a PBE calculation of Ge3SeS after structural relaxation, from Alexandria via LeMat-Bulk.

abc: 4.985 4.985 4.985
angles: 90.00 90.00 90.00
Element x y z (fractional)
Ge1 0.000 0.000 0.500
Ge2 0.000 0.500 0.000
Ge3 0.500 0.000 0.000
Se1 0.500 0.500 0.500
S1 0.000 0.000 0.000

Symmetry: No. 221
Calculated total energy in eV/cell: -18.81
DOS(E_F) in states/eV/f.u.: 2.61
Energy relative to the elements, uncorrected in eV/atom: 0.53

Record 6
The following is a PBE calculation of GeSeS after structural relaxation, from Alexandria via LeMat-Bulk.

abc: 3.918 4.725 5.305
angles: 80.76 80.95 79.48
Element x y z (fractional)
Ge1 0.000 0.000 0.000
Se1 0.507 0.685 0.230
S1 0.395 0.607 0.844

Symmetry: No. 1
Calculated total energy in eV/cell: -12.21
Energy relative to the elements, uncorrected in eV/atom: 0.01

Record 7
The following is a PBE calculation of GeSeS2 after structural relaxation, from Alexandria via LeMat-Bulk.

abc: 7.944 7.944 7.944
angles: 26.60 26.60 26.60
Element x y z (fractional)
Ge1 0.000 0.000 0.000
Se1 0.500 0.500 0.500
S1 0.395 0.395 0.395
S2 0.605 0.605 0.605

Symmetry: No. 166
Calculated total energy in eV/cell: -16.01
DOS(E_F) in states/eV/f.u.: 2.80
Energy relative to the elements, uncorrected in eV/atom: 0.09

Record 8
The following is a PBE calculation of Ge4Se3S after structural relaxation, from Alexandria via LeMat-Bulk.

abc: 11.263 5.698 5.731
angles: 90.00 90.00 90.00
Element x y z (fractional)
Ge1 0.000 0.209 0.000
Ge2 0.000 0.772 0.476
Ge3 0.247 0.735 0.996
Ge4 0.253 0.265 0.496
Ge5 0.500 0.228 0.976
Ge6 0.500 0.791 0.500
Ge7 0.747 0.265 0.496
Ge8 0.753 0.735 0.996
Se1 0.000 0.236 0.537
Se2 0.250 0.257 0.039
Se3 0.250 0.743 0.539
Se4 0.500 0.764 0.037
Se5 0.750 0.257 0.039
Se6 0.750 0.743 0.539
S1 0.000 0.776 0.044
S2 0.500 0.224 0.544

Symmetry: No. 31
Calculated total energy in eV/cell: -69.61
Energy relative to the elements, uncorrected in eV/atom: -0.22